No. 1
First-principles (GGA-PBE) data for AcErC3N6 after structural relaxation, as listed in the Alexandria database.

Unit cell a=6.3652 b=6.3652 c=6.3652 alpha=64.21 beta=64.21 gamma=64.21
Fractional positions:
Ac1 0.0000 0.0000 0.0000
Er1 0.3605 0.3605 0.3605
C1 0.2533 0.4265 0.8845
C2 0.4265 0.8845 0.2533
C3 0.8845 0.2533 0.4265
N1 0.0002 0.2379 0.5485
N2 0.2379 0.5485 0.0002
N3 0.2667 0.3015 0.7734
N4 0.3015 0.7734 0.2667
N5 0.5485 0.0002 0.2379
N6 0.7734 0.2667 0.3015

Results
As for the density of states at the Fermi level: 0.000 states/eV per atom. For the uncorrected formation energy, the calculation gives -767.6 meV/atom. The calculation puts the calculated volume at 199 Å³ per cell. The calculation puts the size of the total moment at 0.0 μB per formula unit.

---

No. 2
First-principles (GGA-PBE) data for Ac3EuC after structural relaxation, as listed in the Alexandria database.

Unit cell a=5.6291 b=5.6291 c=5.6291 alpha=90.00 beta=90.00 gamma=90.00
Fractional positions:
Ac1 0.0000 0.0000 0.5000
Ac2 0.0000 0.5000 0.0000
Ac3 0.5000 0.0000 0.0000
Eu1 0.5000 0.5000 0.5000
C1 0.0000 0.0000 0.0000

Results
As for the density of states at the Fermi level: 2.790 states/eV per atom. The calculation puts the calculated volume at 178 Å³ per cell. The calculation puts the size of the total moment at 8.5 μB per formula unit. As for the formation energy from the elements: 173 meV/atom.

---

| no. | VASP energy (eV per atom) |
| --- | --- |
| 1 | -8.6126 |
| 2 | -6.1914 |